Computed, not measured: a geometry-optimized Pm4Nd2Th structure at the PBE level of DFT.

Cell lengths 3.6627, 3.6627, 20.9049 Å; angles 95.18, 95.18, 59.95 degrees
Closest atoms and distances in Å follow each position.
Positions (direct):
Pm1 0.0000 0.0000 0.0000  6 Nd 3.62-3.67, 6 Pm 3.66
Pm2 0.4273 0.4273 0.2866  3 Th 3.60-3.61, 6 Pm 3.66, 3 Nd 3.66-3.67
Pm3 0.5186 0.5186 0.5677  3 Th 3.60-3.62, 9 Pm 3.66-3.69
Pm4 0.9056 0.9056 0.7120  3 Nd 3.65-3.69, 9 Pm 3.66-3.69
Nd1 0.6157 0.6157 0.8558  6 Pm 3.65-3.69, 6 Nd 3.66
Nd2 0.7091 0.7091 0.1423  6 Pm 3.62-3.67, 6 Nd 3.66
Th1 0.8071 0.8071 0.4273  6 Pm 3.60-3.62, 6 Th 3.66

Calculated formation energy: 0.037 eV per atom
Polymorph energy (0 for the lowest one): 0 meV/atom

Computed, not measured: a geometry-optimized TmTiGaPd structure at the PBE level of DFT.

Cell lengths 4.7396, 4.7396, 4.7396 Å; angles 60.00, 60.00, 60.00 degrees
Closest atoms and distances in Å follow each position.
Positions (direct):
Tm1 0.0000 0.0000 0.0000  4 Pd 2.90, 4 Ga 2.90
Ti1 0.5000 0.5000 0.5000  4 Pd 2.90, 4 Ga 2.90
Ga1 0.7500 0.7500 0.7500  4 Ti 2.90, 4 Tm 2.90
Pd1 0.2500 0.2500 0.2500  4 Tm 2.90, 4 Ti 2.90

Calculated formation energy: -0.492 eV per atom

Computed, not measured: a geometry-optimized Ho3ScSn2 structure at the PBE level of DFT.

Cell lengths 9.3927, 9.3927, 9.3927 Å; angles 140.72, 56.70, 140.80 degrees
Closest atoms and distances in Å follow each position.
Positions (direct):
Ho1 0.1724 0.2489 0.4214  5 Sn 3.16-3.25
Ho2 0.2500 0.2500 0.0000  2 Ho 3.15, 2 Sc 3.16, 4 Sn 3.20
Ho3 0.3276 0.7489 0.0765  5 Sn 3.16-3.25
Ho4 0.6724 0.2511 0.9235  5 Sn 3.16-3.25
Ho5 0.7500 0.7500 0.0000  2 Ho 3.15, 2 Sc 3.16, 4 Sn 3.20
Ho6 0.8276 0.7511 0.5786  5 Sn 3.16-3.25
Sc1 0.2500 0.7500 0.5000  4 Sn 3.15, 2 Sc 3.15, 2 Ho 3.16
Sc2 0.7500 0.2500 0.5000  4 Sn 3.15, 2 Sc 3.15, 2 Ho 3.16
Sn1 0.1366 0.7425 0.8791  2 Sc 3.15, 7 Ho 3.16-3.25
Sn2 0.3634 0.2425 0.6059  2 Sc 3.15, 7 Ho 3.16-3.25
Sn3 0.6366 0.7575 0.3941  2 Sc 3.15, 7 Ho 3.16-3.25
Sn4 0.8634 0.2575 0.1209  2 Sc 3.15, 7 Ho 3.16-3.25

Calculated formation energy: -0.587 eV per atom

Computed, not measured: a geometry-optimized BaZn2Mo2 structure at the PBE level of DFT.

Cell lengths 8.3982, 8.3982, 2.8593 Å; angles 90.00, 90.00, 90.00 degrees
Closest atoms and distances in Å follow each position.
Positions (direct):
Ba1 0.0000 0.0000 0.0000  2 Ba 2.86, 4 Zn 3.09
Ba2 0.5000 0.5000 0.0000  2 Ba 2.86, 4 Zn 3.09
Zn1 0.1778 0.3222 0.0000  6 Mo 2.84-2.94, 2 Zn 2.86, 2 Ba 3.09
Zn2 0.3222 0.8222 0.0000  6 Mo 2.84-2.94, 2 Zn 2.86, 2 Ba 3.09
Zn3 0.6778 0.1778 0.0000  6 Mo 2.84-2.94, 2 Zn 2.86, 2 Ba 3.09
Zn4 0.8222 0.6778 0.0000  6 Mo 2.84-2.94, 2 Zn 2.86, 2 Ba 3.09
Mo1 0.1059 0.6059 0.5000  1 Mo 2.51
Mo2 0.3941 0.1059 0.5000  1 Mo 2.51
Mo3 0.6059 0.8941 0.5000  1 Mo 2.51
Mo4 0.8941 0.3941 0.5000  1 Mo 2.51

Calculated formation energy: 0.531 eV per atom
Polymorph energy (0 for the lowest one): 145 meV/atom

Computed, not measured: a geometry-optimized La2DyHg6 structure at the PBE level of DFT.

Cell lengths 8.7776, 8.7776, 3.5077 Å; angles 90.00, 90.00, 120.00 degrees
Closest atoms and distances in Å follow each position.
Positions (direct):
La1 0.3333 0.6667 0.0000  12 Hg 3.43, 2 La 3.51
La2 0.6667 0.3333 0.0000  12 Hg 3.43, 2 La 3.51
Dy1 0.0000 0.0000 0.0000  12 Hg 3.38, 2 Dy 3.51
Hg1 0.0000 0.3295 0.5000  3 Hg 2.89-2.99
Hg2 0.0000 0.6705 0.5000  3 Hg 2.89-2.99
Hg3 0.3295 0.0000 0.5000  3 Hg 2.89-2.99
Hg4 0.3295 0.3295 0.5000  3 Hg 2.89-2.99
Hg5 0.6705 0.0000 0.5000  3 Hg 2.89-2.99
Hg6 0.6705 0.6705 0.5000  3 Hg 2.89-2.99

Calculated formation energy: -0.445 eV per atom

Computed, not measured: a geometry-optimized KYbCuSe3 structure at the PBE level of DFT.

Cell lengths 4.3223, 9.4030, 8.4443 Å; angles 90.00, 104.82, 90.00 degrees
Closest atoms and distances in Å follow each position.
Positions (direct):
K1 0.2458 0.2500 0.4906  6 Se 3.29-3.39, 1 Cu 3.67
K2 0.7542 0.7500 0.5094  6 Se 3.29-3.39, 1 Cu 3.67
Yb1 0.0000 0.0000 0.0000  6 Se 2.89-2.97, 4 Cu 3.23
Yb2 0.0000 0.5000 0.0000  6 Se 2.89-2.97, 4 Cu 3.23
Cu1 0.4694 0.2500 0.9395  4 Se 2.46-2.54
Cu2 0.5306 0.7500 0.0605  4 Se 2.46-2.54
Se1 0.1030 0.7500 0.2060  2 Cu 2.46-2.47
Se2 0.3949 0.6168 0.7900  1 Se 2.51, 1 Cu 2.54
Se3 0.3949 0.8832 0.7900  1 Se 2.51, 1 Cu 2.54
Se4 0.6051 0.1168 0.2100  1 Se 2.51, 1 Cu 2.54
Se5 0.6051 0.3832 0.2100  1 Se 2.51, 1 Cu 2.54
Se6 0.8970 0.2500 0.7940  2 Cu 2.46-2.47

Energy relative to the elements, uncorrected: -1.035 eV/atom

Short version: density of states at the Fermi level = 11.7, 5.0, 9.8, 6.6, 7.6, 0.0 states/eV/cell, in the order given.